VASP calculation (GGA-PBE) on a relaxed Tb2AlCd crystal.

```
data_Tb2AlCd
_chemical_formula_sum 'Tb6 Al3 Cd3'
_cell_length_a 3.6270
_cell_length_b 3.6270
_cell_length_c 28.5837
_cell_angle_alpha 90.00
_cell_angle_beta 90.00
_cell_angle_gamma 120.00
_symmetry_space_group_name_H-M 'R -3 m'
_symmetry_Int_Tables_number 166
_symmetry_space_group_name_Hall '-R 3 2"'
loop_
_atom_site_label
_atom_site_type_symbol
_atom_site_fract_x
_atom_site_fract_y
_atom_site_fract_z
Tb1 Tb 0.0000 0.0000 0.2452
Al1 Al 0.0000 0.0000 0.5000
Cd1 Cd 0.0000 0.0000 0.0000
```

Computed properties:
- Calculated volume: 27.14 Å³/atom
- D(E_F): 0.5891 states/eV/atom
- ρ: 6.99 g cm⁻³
- Energy relative to the elements: -0.69 eV/f.u.

=====

VASP calculation (GGA-PBE) on a relaxed AcPaTe3 crystal.

```
data_AcPaTe3
_chemical_formula_sum 'Ac4 Pa4 Te12'
_cell_length_a 8.3446
_cell_length_b 4.5477
_cell_length_c 18.0041
_cell_angle_alpha 90.00
_cell_angle_beta 90.00
_cell_angle_gamma 90.00
_symmetry_space_group_name_H-M 'P n m a'
_symmetry_Int_Tables_number 62
loop_
_symmetry_equiv_pos_as_xyz
'x,y,z'
'-x,-y,-z'
'-x+1/2,-y,z+1/2'
'x+1/2,y,-z+1/2'
'x+1/2,-y+1/2,-z+1/2'
'-x+1/2,y+1/2,z+1/2'
'-x,y+1/2,-z'
'x,-y+1/2,z'
loop_
_atom_site_label
_atom_site_type_symbol
_atom_site_fract_x
_atom_site_fract_y
_atom_site_fract_z
Ac1 Ac 0.1170 0.2500 0.1955
Pa1 Pa 0.2262 0.7500 0.4604
Te1 Te 0.0018 0.2500 0.3973
Te2 Te 0.1197 0.7500 0.0596
Te3 Te 0.1761 0.2500 0.7882
```

Computed properties:
- Calculated volume: 34.16 Å³/atom
- Excess energy over the best structure of this formula in the dataset: 0.0000 eV per atom
- D(E_F): 1.2024 states/eV/atom
- E_form (uncorrected): -1.159 eV/atom
- ρ: 8.17 g cm⁻³

=====

VASP calculation (GGA-PBE) on a relaxed NbGe2TeP crystal.

```
data_NbGe2TeP
_chemical_formula_sum 'Nb1 Ge2 Te1 P1'
_cell_length_a 5.2133
_cell_length_b 5.2133
_cell_length_c 4.6979
_cell_angle_alpha 90.00
_cell_angle_beta 90.00
_cell_angle_gamma 90.00
_symmetry_space_group_name_H-M 'P 4/m m m'
_symmetry_Int_Tables_number 123
_symmetry_space_group_name_Hall '-P 4 2'
loop_
_atom_site_label
_atom_site_type_symbol
_atom_site_fract_x
_atom_site_fract_y
_atom_site_fract_z
Nb1 Nb 0.0000 0.0000 0.0000
Ge1 Ge 0.0000 0.5000 0.0000
Te1 Te 0.5000 0.5000 0.5000
P1 P 0.0000 0.0000 0.5000
```

Computed properties:
- Calculated volume: 25.54 Å³/atom
- D(E_F): 1.2117 states/eV/atom
- E_form (uncorrected): 0.433 eV/atom
- ρ: 5.16 g cm⁻³